[1]
Entry from the Alexandria database: a relaxed Pr2MgPd7 crystal (PBE-GGA).

Properties
Its crystal system is cubic. For the formation energy, the calculation gives -0.8 eV/f.u. The value obtained for the total energy is -4.830 eV per atom.

The structure in CIF format:
```
data_Pr2MgPd7
_chemical_formula_sum 'Pr8 Mg4 Pd28'
_cell_length_a 9.586
_cell_length_b 9.586
_cell_length_c 9.586
_cell_angle_alpha 90.00
_cell_angle_beta 90.00
_cell_angle_gamma 90.00
_symmetry_space_group_name_H-M 'F m -3 m'
_symmetry_Int_Tables_number 225
_symmetry_space_group_name_Hall '-F 4 2 3'
loop_
_atom_site_label
_atom_site_fract_x
_atom_site_fract_y
_atom_site_fract_z
_atom_site_occupancy
Pr1 0.250 0.250 0.250 1
Mg1 0.000 0.000 0.000 1
Pd1 0.000 0.000 0.241 1
Pd2 0.000 0.000 0.500 1
```

=====

[2]
Entry from the Alexandria database: a relaxed PrMgPd2 crystal (PBE-GGA).

Properties
Its crystal system is tetragonal. For the formation energy, the calculation gives -2.6 eV/f.u. The value obtained for the total energy is -4.829 eV per atom.

The structure in CIF format:
```
data_PrMgPd2
_chemical_formula_sum 'Pr1 Mg1 Pd2'
_cell_length_a 4.921
_cell_length_b 4.921
_cell_length_c 3.410
_cell_angle_alpha 90.00
_cell_angle_beta 90.00
_cell_angle_gamma 90.00
_symmetry_space_group_name_H-M 'P 4/m m m'
_symmetry_Int_Tables_number 123
_symmetry_space_group_name_Hall '-P 4 2'
loop_
_atom_site_label
_atom_site_fract_x
_atom_site_fract_y
_atom_site_fract_z
_atom_site_occupancy
Pr1 0.000 0.000 0.000 1
Mg1 0.500 0.500 0.000 1
Pd1 0.000 0.500 0.500 1
```

=====

[3]
Entry from the Alexandria database: a relaxed PrMgPd crystal (PBE-GGA).

Properties
Its crystal system is tetragonal. For the formation energy, the calculation gives -1.4 eV/f.u. The value obtained for the total energy is -4.337 eV per atom.

The structure in CIF format:
```
data_PrMgPd
_chemical_formula_sum 'Pr2 Mg2 Pd2'
_cell_length_a 3.486
_cell_length_b 3.486
_cell_length_c 11.520
_cell_angle_alpha 90.00
_cell_angle_beta 90.00
_cell_angle_gamma 90.00
_symmetry_space_group_name_H-M 'I 4 m m'
_symmetry_Int_Tables_number 107
_symmetry_space_group_name_Hall 'I 4 -2'
loop_
_atom_site_label
_atom_site_fract_x
_atom_site_fract_y
_atom_site_fract_z
_atom_site_occupancy
Pr1 0.000 0.000 0.000 1
Mg1 0.000 0.000 0.282 1
Pd1 0.000 0.000 0.667 1
```

=====

[4]
Entry from the Alexandria database: a relaxed Pr3Mg5Pd2 crystal (PBE-GGA).

Properties
Its crystal system is orthorhombic. For the formation energy, the calculation gives -2.9 eV/f.u. The value obtained for the total energy is -3.557 eV per atom. The energy relative to the lowest polymorph listed for this composition is 113 meV/atom.

The structure in CIF format:
```
data_Pr3Mg5Pd2
_chemical_formula_sum 'Pr12 Mg20 Pd8'
_cell_length_a 12.214
_cell_length_b 13.088
_cell_length_c 6.492
_cell_angle_alpha 90.00
_cell_angle_beta 90.00
_cell_angle_gamma 90.00
_symmetry_space_group_name_H-M 'I b a m'
_symmetry_Int_Tables_number 72
_symmetry_space_group_name_Hall '-I 2 2c'
loop_
_atom_site_label
_atom_site_fract_x
_atom_site_fract_y
_atom_site_fract_z
_atom_site_occupancy
Pr1 0.000 0.000 0.250 1
Pr2 0.245 0.157 0.000 1
Mg1 0.000 0.267 0.250 1
Mg2 0.000 0.500 0.250 1
Mg3 0.174 0.410 0.000 1
Pd1 0.127 0.151 0.500 1
```

=====

[5]
Entry from the Alexandria database: a relaxed PrMg5Pd6 crystal (PBE-GGA).

Properties
Its crystal system is monoclinic. For the formation energy, the calculation gives -8.3 eV/f.u. The value obtained for the total energy is -4.349 eV per atom.

The structure in CIF format:
```
data_PrMg5Pd6
_chemical_formula_sum 'Pr1 Mg5 Pd6'
_cell_length_a 4.613
_cell_length_b 6.658
_cell_length_c 7.172
_cell_angle_alpha 90.00
_cell_angle_beta 105.48
_cell_angle_gamma 90.00
_symmetry_space_group_name_H-M 'P 1 2/m 1'
_symmetry_Int_Tables_number 10
loop_
_symmetry_equiv_pos_as_xyz
'x,y,z'
'-x,-y,-z'
'-x,y,-z'
'x,-y,z'
loop_
_atom_site_label
_atom_site_fract_x
_atom_site_fract_y
_atom_site_fract_z
_atom_site_occupancy
Pr1 0.000 0.000 0.000 1
Mg1 0.000 0.500 0.000 1
Mg2 0.329 0.000 0.652 1
Mg3 0.335 0.500 0.671 1
Pd1 0.173 0.263 0.345 1
Pd2 0.500 0.272 0.000 1
```

=====

[6]
Entry from the Alexandria database: a relaxed PrMgPd2 crystal (PBE-GGA).

Properties
Its crystal system is tetragonal. For the formation energy, the calculation gives -2.7 eV/f.u. The value obtained for the total energy is -4.869 eV per atom.

The structure in CIF format:
```
data_PrMgPd2
_chemical_formula_sum 'Pr1 Mg1 Pd2'
_cell_length_a 3.438
_cell_length_b 3.438
_cell_length_c 6.849
_cell_angle_alpha 90.00
_cell_angle_beta 90.00
_cell_angle_gamma 90.00
_symmetry_space_group_name_H-M 'P 4/m m m'
_symmetry_Int_Tables_number 123
_symmetry_space_group_name_Hall '-P 4 2'
loop_
_atom_site_label
_atom_site_fract_x
_atom_site_fract_y
_atom_site_fract_z
_atom_site_occupancy
Pr1 0.000 0.000 0.000 1
Mg1 0.000 0.000 0.500 1
Pd1 0.500 0.500 0.288 1
```

=====

[7]
Entry from the Alexandria database: a relaxed Pr3MgPd3 crystal (PBE-GGA).

Properties
Its crystal system is monoclinic. For the formation energy, the calculation gives -4.0 eV/f.u. The value obtained for the total energy is -5.076 eV per atom.

The structure in CIF format:
```
data_Pr3MgPd3
_chemical_formula_sum 'Pr12 Mg4 Pd12'
_cell_length_a 9.058
_cell_length_b 10.756
_cell_length_c 7.267
_cell_angle_alpha 90.00
_cell_angle_beta 92.35
_cell_angle_gamma 90.00
_symmetry_space_group_name_H-M 'C 1 2/m 1'
_symmetry_Int_Tables_number 12
loop_
_symmetry_equiv_pos_as_xyz
'x,y,z'
'-x,-y,-z'
'-x,y,-z'
'x,-y,z'
'x+1/2,y+1/2,z'
'-x+1/2,-y+1/2,-z'
'-x+1/2,y+1/2,-z'
'x+1/2,-y+1/2,z'
loop_
_atom_site_label
_atom_site_fract_x
_atom_site_fract_y
_atom_site_fract_z
_atom_site_occupancy
Pr1 0.000 0.169 0.000 1
Pr2 0.000 0.253 0.500 1
Pr3 0.145 0.500 0.863 1
Mg1 0.246 0.500 0.365 1
Pd1 0.070 0.000 0.322 1
Pd2 0.236 0.277 0.210 1
```

=====

[8]
Entry from the Alexandria database: a relaxed PrMg8Pd4 crystal (PBE-GGA).

Properties
Its crystal system is tetragonal. For the formation energy, the calculation gives -6.5 eV/f.u. The value obtained for the total energy is -3.447 eV per atom.

The structure in CIF format:
```
data_PrMg8Pd4
_chemical_formula_sum 'Pr2 Mg16 Pd8'
_cell_length_a 9.479
_cell_length_b 9.479
_cell_length_c 5.678
_cell_angle_alpha 90.00
_cell_angle_beta 90.00
_cell_angle_gamma 90.00
_symmetry_space_group_name_H-M 'I 4/m m m'
_symmetry_Int_Tables_number 139
_symmetry_space_group_name_Hall '-I 4 2'
loop_
_atom_site_label
_atom_site_fract_x
_atom_site_fract_y
_atom_site_fract_z
_atom_site_occupancy
Pr1 0.000 0.000 0.000 1
Mg1 0.000 0.221 0.500 1
Mg2 0.000 0.337 0.000 1
Pd1 0.250 0.250 0.250 1
```